Er4CdRh2 | PBE | relaxed

abc: 4.4849 4.4849 10.6116
angles: 77.80 77.80 60.00
Closest atoms and distances in Å follow each position.
Fractional coordinates of all 7 atoms:
Er 0.7011 0.7011 0.8968  3 Rh 2.81
Er 0.8915 0.8915 0.3254  3 Rh 2.86, 3 Cd 3.15
Er 0.2989 0.2989 0.1032  3 Rh 2.81
Er 0.1085 0.1085 0.6746  3 Rh 2.86, 3 Cd 3.15
Cd 0.5000 0.5000 0.5000  2 Rh 3.00, 6 Er 3.15
Rh 0.5973 0.5973 0.2082  6 Er 2.81-2.86, 1 Cd 3.00
Rh 0.4027 0.4027 0.7918  6 Er 2.81-2.86, 1 Cd 3.00

The space group is No. 166. Its energy above the most stable polymorph in this dataset is 0.00 eV per formula unit. As for the total magnetic moment: 0.00 μB/cell. The value obtained for the formation energy is -0.56 eV/atom. For the density of states at the Fermi level, the calculation gives 0.492 states/eV/atom.


Er6CdRh2 | PBE | relaxed

abc: 8.4054 8.4054 8.4054
angles: 104.14 111.43 112.98
Closest atoms and distances in Å follow each position.
Fractional coordinates of all 18 atoms:
Er 0.5318 0.7135 0.8184  3 Rh 2.96-3.02, 1 Cd 3.17
Er 0.4682 0.2865 0.1816  3 Rh 2.96-3.02, 1 Cd 3.17
Er 0.1049 0.2865 0.8184  3 Rh 2.96-3.02, 1 Cd 3.17
Er 0.8951 0.7135 0.1816  3 Rh 2.96-3.02, 1 Cd 3.17
Er 0.8007 0.7612 0.5619  1 Rh 2.78, 1 Cd 3.11
Er 0.1993 0.2388 0.4381  1 Rh 2.78, 1 Cd 3.11
Er 0.1993 0.7612 0.9605  1 Rh 2.78, 1 Cd 3.11
Er 0.8007 0.2388 0.0395  1 Rh 2.78, 1 Cd 3.11
Er 0.6935 0.3657 0.6721  3 Rh 2.70-2.98
Er 0.3065 0.6343 0.3279  3 Rh 2.70-2.98
Er 0.3065 0.9786 0.6721  3 Rh 2.70-2.98
Er 0.6935 0.0214 0.3279  3 Rh 2.70-2.98
Cd 0.0000 0.5000 0.5000  12 Er 3.29-3.61
Cd 0.0000 0.0000 0.0000  8 Er 3.11-3.17, 2 Rh 3.16
Rh 0.5000 0.3678 0.8678  6 Er 2.70-2.96, 1 Rh 2.73
Rh 0.5000 0.6322 0.1322  6 Er 2.70-2.96, 1 Rh 2.73
Rh 0.6666 0.0000 0.6666  8 Er 2.78-3.02
Rh 0.3334 0.0000 0.3334  8 Er 2.78-3.02

The space group is No. 71. As for the total magnetic moment: 0.00 μB/cell. The value obtained for the formation energy is -0.55 eV/atom. For the density of states at the Fermi level, the calculation gives 0.911 states/eV/atom.


Er6Cd2Rh | PBE | relaxed

abc: 3.7008 8.6429 8.6091
angles: 120.13 90.00 90.00
Closest atoms and distances in Å follow each position.
Fractional coordinates of all 9 atoms:
Er 0.5000 0.6063 0.0000  4 Cd 3.23, 1 Rh 3.43, 6 Er 3.49-3.61
Er 0.5000 0.3919 0.3928  4 Cd 3.23-3.24, 1 Rh 3.36, 4 Er 3.49-3.50
Er 0.5000 0.9991 0.6072  4 Cd 3.23-3.24, 1 Rh 3.36, 4 Er 3.49-3.50
Er 0.0000 0.2474 0.0000  2 Rh 2.80
Er 0.0000 0.7547 0.7560  2 Rh 2.82
Er 0.0000 0.9987 0.2440  2 Rh 2.82
Cd 0.0000 0.3322 0.6661  9 Er 3.23-3.33
Cd 0.0000 0.6661 0.3339  9 Er 3.23-3.33
Rh 0.5000 0.0035 0.0000  6 Er 2.80-2.82

The space group is No. 38. Its energy above the most stable polymorph in this dataset is 0.00 eV per formula unit. As for the total magnetic moment: 0.00 μB/cell. The value obtained for the formation energy is -0.34 eV/atom. For the density of states at the Fermi level, the calculation gives 1.226 states/eV/atom.


Er6CdRh5 | PBE | relaxed

abc: 4.8537 6.9476 8.4172
angles: 114.37 106.76 90.00
Closest atoms and distances in Å follow each position.
Fractional coordinates of all 12 atoms:
Cd 0.0000 0.0000 0.0000  8 Er 3.05-3.08, 4 Rh 3.40
Rh 0.6638 0.1638 0.3277  8 Er 2.92-3.01
Rh 0.3329 0.3329 0.6659  8 Er 2.93-2.96
Rh 0.0000 0.5000 0.0000  8 Er 2.93-3.02
Rh 0.6671 0.6671 0.3341  8 Er 2.93-2.96
Rh 0.3362 0.8362 0.6723  8 Er 2.92-3.01
Er 0.8277 0.5711 0.6554  7 Rh 2.92-3.02, 1 Cd 3.08
Er 0.8277 0.0843 0.6554  7 Rh 2.92-3.02, 1 Cd 3.08
Er 0.5000 0.7352 0.0000  6 Rh 2.93-3.01, 2 Cd 3.05, 1 Er 3.27
Er 0.5000 0.2648 0.0000  6 Rh 2.93-3.01, 2 Cd 3.05, 1 Er 3.27
Er 0.1723 0.9157 0.3446  7 Rh 2.92-3.02, 1 Cd 3.08
Er 0.1723 0.4289 0.3446  7 Rh 2.92-3.02, 1 Cd 3.08

The space group is No. 71. As for the total magnetic moment: 0.00 μB/cell. The value obtained for the formation energy is -0.80 eV/atom. For the density of states at the Fermi level, the calculation gives 0.699 states/eV/atom.


Er5Cd4Rh | PBE | relaxed

abc: 3.5870 3.5870 18.8570
angles: 90.00 90.00 90.00
Closest atoms and distances in Å follow each position.
Fractional coordinates of all 10 atoms:
Er 0.5000 0.5000 0.0844  4 Rh 2.99, 1 Er 3.18, 4 Cd 3.25
Er 0.5000 0.5000 0.2942  8 Cd 3.18-3.19
Er 0.5000 0.5000 0.5000  8 Cd 3.19
Er 0.5000 0.5000 0.7058  8 Cd 3.18-3.19
Er 0.5000 0.5000 0.9156  4 Rh 2.99, 1 Er 3.18, 4 Cd 3.25
Cd 0.0000 0.0000 0.1923  8 Er 3.18-3.25
Cd 0.0000 0.0000 0.3970  8 Er 3.19
Cd 0.0000 0.0000 0.6030  8 Er 3.19
Cd 0.0000 0.0000 0.8077  8 Er 3.18-3.25
Rh 0.0000 0.0000 0.0000  8 Er 2.99

The space group is No. 123. As for the total magnetic moment: 0.00 μB/cell. The value obtained for the formation energy is -0.44 eV/atom. For the density of states at the Fermi level, the calculation gives 0.664 states/eV/atom.


Er2Cd3Rh2 | PBE | relaxed

abc: 4.0701 5.3569 7.5058
angles: 96.03 90.00 112.33
Closest atoms and distances in Å follow each position.
Fractional coordinates of all 7 atoms:
Er 0.6243 0.2485 0.3669  5 Rh 2.84-2.97
Er 0.3757 0.7515 0.6331  5 Rh 2.84-2.97
Cd 0.3040 0.6080 0.1330  2 Rh 2.75, 5 Cd 2.97-3.06
Cd 0.0000 0.0000 0.0000  2 Rh 2.90, 6 Cd 3.06
Cd 0.6960 0.3920 0.8670  2 Rh 2.75, 5 Cd 2.97-3.06
Rh 0.0907 0.1813 0.6463  1 Rh 2.68, 3 Cd 2.75-2.90, 5 Er 2.84-2.97
Rh 0.9093 0.8187 0.3537  1 Rh 2.68, 3 Cd 2.75-2.90, 5 Er 2.84-2.97

The space group is No. 12. As for the total magnetic moment: 0.00 μB/cell. The value obtained for the formation energy is -0.51 eV/atom. For the density of states at the Fermi level, the calculation gives 0.606 states/eV/atom.


Er4CdRh3 | PBE | relaxed

abc: 4.8523 7.1073 9.7050
angles: 90.00 90.00 90.00
Closest atoms and distances in Å follow each position.
Fractional coordinates of all 16 atoms:
Cd 0.0000 0.5000 0.0000  8 Er 3.06-3.07, 4 Rh 3.43
Cd 0.0000 0.5000 0.5000  8 Er 3.06-3.07, 4 Rh 3.43
Rh 0.0000 0.0000 0.0000  8 Er 2.95
Rh 0.0000 0.0000 0.5000  8 Er 2.95
Rh 0.4998 0.0000 0.7500  8 Er 2.95
Rh 0.5002 0.0000 0.2500  8 Er 2.95
Rh 0.4999 0.5000 0.7500  8 Er 3.06-3.07, 4 Cd 3.43
Rh 0.5001 0.5000 0.2500  8 Er 3.06-3.07, 4 Cd 3.43
Er 0.5000 0.7635 0.0000  6 Rh 2.95-3.07, 2 Cd 3.06
Er 0.5000 0.7635 0.5000  6 Rh 2.95-3.07, 2 Cd 3.06
Er 0.5000 0.2365 0.0000  6 Rh 2.95-3.07, 2 Cd 3.06
Er 0.5000 0.2365 0.5000  6 Rh 2.95-3.07, 2 Cd 3.06
Er 0.9999 0.7635 0.7500  6 Rh 2.95-3.06, 2 Cd 3.07
Er 0.0001 0.7635 0.2500  6 Rh 2.95-3.06, 2 Cd 3.07
Er 0.0001 0.2365 0.2500  6 Rh 2.95-3.06, 2 Cd 3.07
Er 0.9999 0.2365 0.7500  6 Rh 2.95-3.06, 2 Cd 3.07

The space group is No. 123. As for the total magnetic moment: 0.00 μB/cell. The value obtained for the formation energy is -0.73 eV/atom. For the density of states at the Fermi level, the calculation gives 0.892 states/eV/atom.


Er5Cd2Rh2 | PBE | relaxed

abc: 7.5305 7.4140 8.8447
angles: 114.78 90.00 90.00
Closest atoms and distances in Å follow each position.
Fractional coordinates of all 18 atoms:
Er 0.0000 0.0000 0.0000  4 Rh 2.91-2.92
Er 0.5000 0.5000 0.0000  4 Rh 2.91-2.92
Er 0.8280 0.7919 0.2389  3 Rh 2.81-3.02
Er 0.1720 0.4471 0.2389  3 Rh 2.81-3.02
Er 0.3280 0.9471 0.2389  3 Rh 2.81-3.02
Er 0.6720 0.2919 0.2389  3 Rh 2.81-3.02
Er 0.1720 0.2081 0.7611  3 Rh 2.81-3.02
Er 0.8280 0.5529 0.7611  3 Rh 2.81-3.02
Er 0.6720 0.0529 0.7611  3 Rh 2.81-3.02
Er 0.3280 0.7081 0.7611  3 Rh 2.81-3.02
Cd 0.0000 0.2180 0.4360  7 Er 3.18-3.50
Cd 0.5000 0.7180 0.4360  7 Er 3.18-3.50
Cd 0.0000 0.7820 0.5640  7 Er 3.18-3.50
Cd 0.5000 0.2820 0.5640  7 Er 3.18-3.50
Rh 0.6346 0.8673 0.0000  8 Er 2.81-3.02, 1 Rh 2.83
Rh 0.3654 0.1327 0.0000  8 Er 2.81-3.02, 1 Rh 2.83
Rh 0.1346 0.6327 0.0000  8 Er 2.81-3.02, 1 Rh 2.83
Rh 0.8654 0.3673 0.0000  8 Er 2.81-3.02, 1 Rh 2.83

The space group is No. 64. As for the total magnetic moment: 0.00 μB/cell. The value obtained for the formation energy is -0.55 eV/atom. For the density of states at the Fermi level, the calculation gives 0.733 states/eV/atom.


Er3CdRh8 | PBE | relaxed

abc: 5.2839 5.2839 9.1885
angles: 73.29 73.29 60.00
Closest atoms and distances in Å follow each position.
Fractional coordinates of all 12 atoms:
Er 0.3757 0.3757 0.8728  12 Rh 3.09-3.12, 4 Er 3.28-3.34
Er 0.9956 0.9956 0.0132  12 Rh 3.04-3.21, 1 Cd 3.18, 3 Er 3.28
Er 0.5041 0.5041 0.4876  12 Rh 3.02-3.16, 3 Cd 3.19, 1 Er 3.34
Cd 0.8734 0.8734 0.3798  12 Rh 3.07-3.13, 4 Er 3.18-3.19
Rh 0.9390 0.4372 0.1866  6 Rh 2.63-2.65
Rh 0.4370 0.9377 0.6876  6 Rh 2.64-2.65
Rh 0.4372 0.4372 0.1866  6 Rh 2.63-2.65
Rh 0.9377 0.9377 0.6876  6 Rh 2.64-2.65
Rh 0.1877 0.1877 0.4369  6 Rh 2.65
Rh 0.6877 0.6877 0.9369  6 Rh 2.65
Rh 0.4372 0.9390 0.1866  6 Rh 2.63-2.65
Rh 0.9377 0.4370 0.6876  6 Rh 2.64-2.65

The space group is No. 160. As for the total magnetic moment: 0.00 μB/cell. The value obtained for the formation energy is -0.61 eV/atom. For the density of states at the Fermi level, the calculation gives 0.701 states/eV/atom.


Er5CdRh6 | PBE | relaxed

abc: 4.7391 6.7465 7.5018
angles: 90.00 71.59 90.00
Closest atoms and distances in Å follow each position.
Fractional coordinates of all 12 atoms:
Cd 0.0000 0.0000 0.0000  8 Rh 2.93-2.94, 4 Er 3.28
Rh 0.8316 0.7504 0.3368  7 Er 2.89-2.97, 1 Cd 2.93
Rh 0.8316 0.2496 0.3368  7 Er 2.89-2.97, 1 Cd 2.93
Rh 0.5000 0.2577 0.0000  6 Er 2.86-2.88, 2 Cd 2.94
Rh 0.5000 0.7423 0.0000  6 Er 2.86-2.88, 2 Cd 2.94
Rh 0.1684 0.7504 0.6632  7 Er 2.89-2.97, 1 Cd 2.93
Rh 0.1684 0.2496 0.6632  7 Er 2.89-2.97, 1 Cd 2.93
Er 0.6666 0.5000 0.6669  8 Rh 2.88-2.91
Er 0.3407 0.0000 0.3186  8 Rh 2.86-2.97
Er 0.0000 0.5000 0.0000  8 Rh 2.88-2.93
Er 0.6593 0.0000 0.6814  8 Rh 2.86-2.97
Er 0.3334 0.5000 0.3331  8 Rh 2.88-2.91

The space group is No. 65. As for the total magnetic moment: 0.00 μB/cell. The value obtained for the formation energy is -0.85 eV/atom. For the density of states at the Fermi level, the calculation gives 0.439 states/eV/atom.


ErCdRh | PBE | relaxed

abc: 3.1695 3.1695 7.6362
angles: 101.98 101.98 90.00
Closest atoms and distances in Å follow each position.
Fractional coordinates of all 3 atoms:
Cd 0.1530 0.1530 0.3061  4 Rh 2.78
Rh 0.7657 0.7657 0.5314  1 Er 2.42
Er 0.9313 0.9313 0.8626  1 Rh 2.42

The space group is No. 107. As for the total magnetic moment: 0.00 μB/cell. The value obtained for the formation energy is 0.26 eV/atom. For the density of states at the Fermi level, the calculation gives 0.985 states/eV/atom.